Sr2AgSn2 | PBEsol | optimized geometry

```
Sr2AgSn2
1.0
7.562 0.000 0.000
0.000 7.562 0.000
0.000 0.000 5.096
Sr Ag Sn
4 2 4
Direct
0.165 0.335 0.000 Sr
0.335 0.835 0.000 Sr
0.665 0.165 0.000 Sr
0.835 0.665 0.000 Sr
0.000 0.000 0.500 Ag
0.500 0.500 0.500 Ag
0.142 0.642 0.500 Sn
0.358 0.142 0.500 Sn
0.642 0.858 0.500 Sn
0.858 0.358 0.500 Sn
```

* density of states at the Fermi level: 2.05 states/eV/f.u.
* E_form: -0.491 eV per atom
* total magnetization: 0.000 μB per formula unit
* energy: -3.593 eV per atom



TbAgSn2 | PBEsol | optimized geometry

```
TbAgSn2
1.0
4.566 0.000 0.000
0.000 4.566 0.000
0.000 0.000 4.309
Tb Ag Sn
1 1 2
Direct
0.000 0.000 0.000 Tb
0.500 0.500 0.000 Ag
0.000 0.500 0.500 Sn
0.500 0.000 0.500 Sn
```

* density of states at the Fermi level: 1.96 states/eV/f.u.
* E_form: -0.498 eV per atom
* total magnetization: 0.000 μB per formula unit
* energy: -4.708 eV per atom



Y2TcAgSn | PBEsol | optimized geometry

```
Y2TcAgSn
1.0
5.192 0.000 0.000
0.000 5.192 0.000
0.000 0.000 5.052
Y Tc Ag Sn
2 1 1 1
Direct
0.000 0.500 0.000 Y
0.500 0.000 0.000 Y
0.000 0.000 0.000 Tc
0.500 0.500 0.500 Ag
0.000 0.000 0.500 Sn
```

* density of states at the Fermi level: 3.90 states/eV/f.u.
* E_form: 0.147 eV per atom
* total magnetization: 0.000 μB per formula unit
* energy: -6.350 eV per atom



AgSnTe3 | PBEsol | optimized geometry

```
AgSnTe3
1.0
5.333 0.000 0.000
0.000 5.333 0.000
0.000 0.000 5.333
Ag Sn Te
1 1 3
Direct
0.000 0.000 0.000 Ag
0.500 0.500 0.500 Sn
0.000 0.000 0.500 Te
0.000 0.500 0.000 Te
0.500 0.000 0.000 Te
```

* density of states at the Fermi level: 4.21 states/eV/f.u.
* formation energy from raw total energies: 0.3542 eV/atom
* total magnetization: 0.000 μB per formula unit
* energy: -3.276 eV per atom



TiAg3Sn | PBEsol | optimized geometry

```
TiAg3Sn
1.0
4.996 0.000 0.000
0.000 4.996 0.000
0.000 0.000 4.996
Ti Ag Sn
1 3 1
Direct
0.000 0.000 0.000 Ti
0.000 0.500 0.500 Ag
0.500 0.000 0.500 Ag
0.500 0.500 0.000 Ag
0.500 0.500 0.500 Sn
```

* density of states at the Fermi level: 4.15 states/eV/f.u.
* E_form: 0.930 eV per atom
* total magnetization: 2.433 μB per formula unit
* energy: -3.573 eV per atom



TlAg2Sn2 | PBEsol | optimized geometry

```
TlAg2Sn2
1.0
8.686 0.000 0.000
0.000 8.686 0.000
0.000 0.000 3.042
Tl Ag Sn
2 4 4
Direct
0.000 0.000 0.000 Tl
0.500 0.500 0.000 Tl
0.154 0.346 0.500 Ag
0.346 0.846 0.500 Ag
0.654 0.154 0.500 Ag
0.846 0.654 0.500 Ag
0.141 0.641 0.000 Sn
0.359 0.141 0.000 Sn
0.641 0.859 0.000 Sn
0.859 0.359 0.000 Sn
```

* density of states at the Fermi level: 1.70 states/eV/f.u.
* E_form: 0.080 eV per atom
* total magnetization: 0.000 μB per formula unit
* energy: -3.474 eV per atom



> Which of these has the lowest density of states at the Fermi level?

TlAg2Sn2



> Look up the density of states at the Fermi level of the second one.

1.96 states/eV/f.u.



> The highest density of states at the Fermi level belongs to which entry?

AgSnTe3